(1)
Crystalline LiYNi at its relaxed geometry, computed with PBEsol.

Structure (POSCAR):
```
LiYNi
1.0
3.596 0.000 0.000
0.000 4.126 0.000
0.000 -2.063 3.573
Li Ni Y
1 1 1
Direct
0.834 0.000 0.000
0.833 0.333 0.667
0.333 0.667 0.333
```

## Properties
Energy above the most stable polymorph in this dataset (meV/atom): 0.0
Energy relative to the elements (eV/atom): -0.048


(2)
Crystalline NaScSnO4 at its relaxed geometry, computed with PBEsol.

Structure (POSCAR):
```
NaScSnO4
1.0
-2.579 1.608 -0.807
-1.079 -5.558 -7.632
-6.275 -7.044 6.016
Na Sc Sn O
4 4 4 16
Direct
0.500 0.748 0.893
0.500 0.248 0.107
0.000 0.261 0.603
0.000 0.761 0.397
0.500 0.572 0.137
0.500 0.072 0.863
0.500 0.579 0.646
0.500 0.079 0.354
0.000 0.439 0.365
0.000 0.939 0.635
0.000 0.416 0.858
0.000 0.916 0.142
0.500 0.796 0.599
0.500 0.296 0.401
0.000 0.208 0.910
0.000 0.708 0.090
0.500 0.877 0.262
0.500 0.377 0.738
0.000 0.111 0.230
0.000 0.611 0.770
0.500 0.581 0.331
0.500 0.081 0.669
0.000 0.429 0.181
0.000 0.929 0.819
0.500 0.973 0.030
0.500 0.473 0.970
0.000 0.011 0.462
0.000 0.511 0.538
```

## Properties
Raw formation energy (eV per atom): -2.39


(3)
Crystalline FeSe at its relaxed geometry, computed with PBEsol.

Structure (POSCAR):
```
FeSe
1.0
-2.131 0.937 -2.894
0.331 -4.563 -1.721
-5.245 -1.638 3.333
Fe Se
4 4
Direct
0.750 0.500 0.250
0.750 0.000 0.250
0.250 0.500 0.750
0.250 0.000 0.750
0.750 0.250 0.917
0.750 0.750 0.583
0.250 0.750 0.083
0.250 0.250 0.417
```

## Properties
Raw formation energy (eV per atom): -0.12


(4)
Crystalline Fe3Co4 at its relaxed geometry, computed with PBEsol.

Structure (POSCAR):
```
Fe3Co4
1.0
2.779 0.000 0.000
0.000 2.779 0.000
-1.390 -1.390 9.802
Co Fe
4 3
Direct
0.000 0.000 0.000
0.571 0.571 0.143
0.144 0.144 0.288
0.285 0.285 0.570
0.713 0.713 0.426
0.857 0.857 0.714
0.430 0.430 0.860
```

## Properties
Energy above the most stable polymorph in this dataset (meV/atom): 28.4
Energy relative to the elements (eV/atom): 0.034


(5)
Crystalline Ti2MnBeIr at its relaxed geometry, computed with PBEsol.

Structure (POSCAR):
```
Ti2MnBeIr
1.0
4.271 0.000 0.000
0.000 4.271 0.000
0.000 0.000 4.487
Be Ir Mn Ti
1 1 1 2
Direct
0.500 0.500 0.500
0.000 0.000 0.500
0.000 0.000 0.000
0.000 0.500 0.000
0.500 0.000 0.000
```

## Properties
Energy relative to the elements (eV/atom): 0.685


(6)
Crystalline TbNi4Au at its relaxed geometry, computed with PBEsol.

Structure (POSCAR):
```
TbNi4Au
1.0
-0.866 -4.776 -0.115
2.855 -3.045 2.479
-1.705 -2.254 3.948
Tb Ni Au
1 4 1
Direct
0.000 0.000 0.000
0.873 0.376 0.376
0.376 0.376 0.376
0.376 0.873 0.376
0.376 0.376 0.873
0.750 0.750 0.750
```

## Properties
Energy relative to the elements (eV/atom): -0.393


(7)
Crystalline La3Te4 at its relaxed geometry, computed with PBEsol.

Structure (POSCAR):
```
La3Te4
1.0
8.243 0.000 0.000
-2.748 7.771 0.000
-2.748 -3.886 6.730
La Te
6 8
Direct
0.750 0.125 0.375
0.250 0.375 0.125
0.625 0.250 0.875
0.875 0.750 0.625
0.375 0.625 0.750
0.125 0.875 0.250
0.845 0.000 0.000
0.500 0.845 0.500
0.000 0.500 0.345
0.655 0.655 0.155
0.345 0.000 0.000
0.500 0.345 0.500
0.155 0.155 0.655
0.000 0.500 0.845
```

## Properties
Raw formation energy (eV per atom): -1.62


(8)
Crystalline YBeCd2 at its relaxed geometry, computed with PBEsol.

Structure (POSCAR):
```
YBeCd2
1.0
3.169 0.000 0.000
0.000 3.169 0.000
0.000 0.000 7.597
Y Be Cd
1 1 2
Direct
0.500 0.500 0.000
0.500 0.500 0.500
0.000 0.000 0.700
0.000 0.000 0.300
```

## Properties
Energy relative to the elements (eV/atom): 0.027